Below is a geometry-optimized Ga3FeP structure, with properties calculated at the PBE level.

Values from the calculation:
N(E_F) ... 3.8 states/eV/cell
Total magnetization ... 2.38 μB/f.u.
Formation energy ... 0.4237 eV/atom

abc: 4.6308 4.6308 4.6308
angles: 90.00 90.00 90.00
Last column: nearest neighbours and their distance in Å.
Element x y z (fractional)
Ga 0.0000 0.0000 0.5000  2 Fe 2.32
Ga 0.0000 0.5000 0.0000  2 Fe 2.32
Ga 0.5000 0.0000 0.0000  2 Fe 2.32
Fe 0.0000 0.0000 0.0000  6 Ga 2.32
P 0.5000 0.5000 0.5000  12 Ga 3.27

---

Below is a geometry-optimized GaFeP structure, with properties calculated at the PBE level.

Values from the calculation:
N(E_F) ... 1.4 states/eV/cell
Total magnetization ... 0.00 μB/f.u.
Formation energy ... -0.2158 eV/atom

abc: 5.6817 5.7411 6.3642
angles: 90.00 115.85 90.00
Last column: nearest neighbours and their distance in Å.
Element x y z (fractional)
Ga 0.1121 0.2281 0.2362  3 Fe 2.40-2.42
Ga 0.1121 0.2719 0.7362  3 Fe 2.40-2.42
Ga 0.8879 0.7281 0.2638  3 Fe 2.40-2.42
Ga 0.8879 0.7719 0.7638  3 Fe 2.40-2.42
Fe 0.2798 0.5254 0.5285  3 P 2.14-2.17, 1 Ga 2.40
Fe 0.2798 0.9746 0.0285  3 P 2.14-2.17, 1 Ga 2.40
Fe 0.7202 0.0254 0.9715  3 P 2.14-2.17, 1 Ga 2.40
Fe 0.7202 0.4746 0.4715  3 P 2.14-2.17, 1 Ga 2.40
P 0.3948 0.7099 0.2921  3 Fe 2.14-2.17
P 0.3948 0.7901 0.7921  3 Fe 2.14-2.17
P 0.6052 0.2099 0.2079  3 Fe 2.14-2.17
P 0.6052 0.2901 0.7079  3 Fe 2.14-2.17

---

- Which of these has the highest formation energy?
  Ga3FeP

---

- What is the total magnetization in the first record?
  2.38 μB/f.u.

---

- total magnetization of number 2 (GaFeP)?
  0.00 μB/f.u.

---

- Look up the formation energy of the first one.
  0.4237 eV/atom